Record 1
Material: TiCo3Mo
Method: DFT, GGA-PBE
State: optimized geometry

a = 4.197 Å, b = 4.197 Å, c = 4.197 Å
α = 90.00°, β = 90.00°, γ = 90.00°
Positions (direct):
Ti  0.000  0.000  0.000
Co  0.000  0.000  0.500
Co  0.000  0.500  0.000
Co  0.500  0.000  0.000
Mo  0.500  0.500  0.500

**Space group**: Pm-3m (221)
**Mass density**: 7.2 g/cm3
**Formation energy**: 1.10 eV per atom
**Volume**: 73.9 Å³ per cell
**Distance to the lowest polymorph of the same formula**: 0 meV/atom

---

Record 2
Material: Fe2IrRu2
Method: DFT, GGA-PBE
State: optimized geometry

a = 6.894 Å, b = 6.894 Å, c = 2.723 Å
α = 90.00°, β = 90.00°, γ = 90.00°
Positions (direct):
Fe  0.120  0.380  0.000
Fe  0.380  0.880  0.000
Fe  0.620  0.120  0.000
Fe  0.880  0.620  0.000
Ir  0.000  0.000  0.000
Ir  0.500  0.500  0.000
Ru  0.175  0.675  0.500
Ru  0.325  0.175  0.500
Ru  0.675  0.825  0.500
Ru  0.825  0.325  0.500

**Space group**: P4/mbm (127)
**Mass density**: 13.0 g/cm3
**Formation energy**: 0.22 eV per atom
**Volume**: 129.4 Å³ per cell
**Distance to the lowest polymorph of the same formula**: 0 meV/atom

---

Record 3
Material: CsCaHgI5
Method: DFT, GGA-PBE
State: optimized geometry

a = 8.828 Å, b = 8.828 Å, c = 11.506 Å
α = 104.15°, β = 104.15°, γ = 105.48°
Positions (direct):
Cs  0.155  0.845  0.750
Cs  0.845  0.155  0.250
Ca  0.500  0.500  0.000
Ca  0.500  0.500  0.500
Hg  0.185  0.815  0.250
Hg  0.815  0.185  0.750
I  0.126  0.258  0.946
I  0.179  0.597  0.398
I  0.258  0.126  0.446
I  0.403  0.821  0.102
I  0.427  0.573  0.750
I  0.573  0.427  0.250
I  0.597  0.179  0.898
I  0.742  0.874  0.554
I  0.821  0.403  0.602
I  0.874  0.742  0.054

**Space group**: C2/c (15)
**Mass density**: 4.2 g/cm3
**Energy relative to the elements, uncorrected**: -1.10 eV/atom
**Volume**: 790.7 Å³ per cell

---

Record 4
Material: BPtO2
Method: DFT, GGA-PBE
State: optimized geometry

a = 6.705 Å, b = 6.705 Å, c = 6.705 Å
α = 24.40°, β = 24.40°, γ = 24.40°
Positions (direct):
B  0.000  0.000  0.000
Pt  0.500  0.500  0.500
O  0.065  0.065  0.065
O  0.935  0.935  0.935

**Space group**: R-3m (166)
**Mass density**: 8.7 g/cm3
**Energy relative to the elements, uncorrected**: -0.52 eV/atom
**Volume**: 45.2 Å³ per cell

---

Record 5
Material: CrHg4
Method: DFT, GGA-PBE
State: optimized geometry

a = 5.465 Å, b = 5.465 Å, c = 5.465 Å
α = 90.00°, β = 90.00°, γ = 90.00°
Positions (direct):
Cr  0.000  0.000  0.000
Hg  0.000  0.000  0.500
Hg  0.000  0.500  0.000
Hg  0.500  0.000  0.000
Hg  0.500  0.500  0.500

**Space group**: Pm-3m (221)
**Mass density**: 8.7 g/cm3
**Formation energy**: 0.35 eV per atom
**Volume**: 163.2 Å³ per cell

---

Record 6
Material: Rb5Te4
Method: DFT, GGA-PBE
State: optimized geometry

a = 7.136 Å, b = 7.136 Å, c = 12.097 Å
α = 105.90°, β = 105.90°, γ = 45.26°
Positions (direct):
Rb  0.000  0.000  0.000
Rb  0.073  0.073  0.389
Rb  0.261  0.261  0.831
Rb  0.739  0.739  0.169
Rb  0.927  0.927  0.611
Te  0.345  0.345  0.358
Te  0.436  0.436  0.155
Te  0.564  0.564  0.845
Te  0.655  0.655  0.642

**Space group**: C2/m (12)
**Mass density**: 3.7 g/cm3
**Energy relative to the elements, uncorrected**: -0.80 eV/atom
**Volume**: 417.8 Å³ per cell